A geometry-optimized YSiNi2 structure. Source: Alexandria, functional GGA-PBE.

POSCAR file:
```
YSiNi2
1.0
6.852 0.000 0.000
0.000 3.961 0.000
-2.310 0.000 4.884
Y Si Ni
2 2 4
direct
0.000 0.000 0.000
0.500 0.500 0.000
0.304 0.500 0.408
0.804 0.000 0.408
0.202 0.000 0.602
0.477 0.000 0.428
0.702 0.500 0.602
0.977 0.500 0.428
```

Summary:
VASP energy, eV/atom: -6.45
Space group: Cm
Raw formation energy, eV per atom: -0.5894



A geometry-optimized Y4SiNi3 structure. Source: Alexandria, functional GGA-PBE.

POSCAR file:
```
Y4SiNi3
1.0
3.995 0.000 0.000
0.000 4.034 0.000
0.000 0.000 10.394
Y Si Ni
4 1 3
direct
0.000 0.000 0.000
0.000 0.500 0.280
0.500 0.000 0.494
0.500 0.500 0.781
0.000 0.000 0.704
0.000 0.500 0.571
0.500 0.000 0.206
0.500 0.500 0.070
```

Summary:
VASP energy, eV/atom: -6.61
Space group: Pmm2
Raw formation energy, eV per atom: -0.5339



A geometry-optimized YSi2Ni structure. Source: Alexandria, functional GGA-PBE.

POSCAR file:
```
YSi2Ni
1.0
4.048 0.000 0.000
0.000 4.087 0.000
0.000 0.000 4.522
Y Si Ni
1 2 1
direct
0.000 0.000 0.000
0.500 0.000 0.511
0.500 0.500 0.224
0.500 0.500 0.732
```

Summary:
VASP energy, eV/atom: -6.25
Space group: Pmm2
Raw formation energy, eV per atom: -0.4731